Na3FeSiCO7 | GGA-PBEsol | optimized geometry

```
Na3FeSiCO7
1.0
-1.953 -3.783 -2.916
5.988 -1.425 -2.162
1.087 -5.744 6.797
Na Fe Si C O
6 2 2 2 14
Cartesian
3.995 -9.193 2.362
6.269 -6.619 2.117
3.322 -5.918 3.181
1.800 -5.034 -1.462
-1.147 -4.333 -0.398
1.126 -1.759 -0.643
0.655 -7.021 1.520
4.467 -3.931 0.199
3.744 -7.081 0.274
1.378 -3.871 1.446
1.080 -8.527 3.693
4.041 -2.425 -1.973
4.917 -7.456 3.769
0.570 -9.055 2.626
1.376 -7.263 3.678
4.928 -8.214 0.348
2.524 -7.642 1.216
4.319 -5.676 0.940
1.849 -4.205 2.973
3.273 -6.746 -1.254
0.803 -5.275 0.779
2.598 -3.310 0.504
0.194 -2.738 1.371
3.746 -3.688 -1.959
4.552 -1.897 -0.907
0.205 -3.495 -2.049
```

Calculated values
ΔE_f (raw) ... -183.0 kJ/mol of atoms
Final energy ... -179.9 eV/cell
Crystal system ... monoclinic